Here is crystalline Fe3Co5 at its relaxed geometry from Alexandria. Energies are from PBEsol.

a b c (Å): 3.9428 3.9428 6.2043
angles (deg): 108.53 108.53 90.00
Last column: nearest neighbours and their distance in Å.
Fractional coordinates of all 8 atoms:
Co: 0.0011 0.5011 0.0022  4 Fe 2.40-2.42, 4 Co 2.40-2.42
Co: 0.2500 0.7500 0.5000  4 Fe 2.41, 4 Co 2.41
Co: 0.6251 0.6251 0.2502  6 Co 2.40-2.42, 2 Fe 2.41
Co: 0.3749 0.3749 0.7498  6 Co 2.40-2.42, 2 Fe 2.41
Co: 0.4989 0.9989 0.9978  4 Fe 2.40-2.42, 4 Co 2.40-2.42
Fe: 0.7500 0.2500 0.5000  4 Fe 2.41, 4 Co 2.41
Fe: 0.1251 0.1251 0.2502  6 Co 2.40-2.42, 2 Fe 2.41
Fe: 0.8749 0.8749 0.7498  6 Co 2.40-2.42, 2 Fe 2.41

The calculation puts the calculated density at 8.9 g/cm³. The space group is I-4m2, No. 119. Its total energy is -8.14 eV per atom. The value obtained for the total magnetization is 16.3 μB/f.u.